A relaxed structure of Ca3Ac2. Source: Alexandria via LeMat-Bulk, functional GGA-PBE.

Lattice parameters (Å, degrees): 3.9378 3.9378 48.5188 90.00 90.00 120.00
Space group R-3m (No. 166, hexagonal axes)
Asymmetric unit:
1 Ca 0.0000 0.0000 0.0000 [3 per cell]
2 Ca 0.0000 0.0000 0.3990 [6 per cell]
3 Ac 0.0000 0.0000 0.1994 [6 per cell]

## Properties
The density of states at the Fermi level is 20.15 states/eV per cell. For the total magnetization, the calculation gives 0.00 μB per formula unit. For the calculated formation energy, the calculation gives 0.008 eV per atom.

A relaxed structure of Zn2ReSi. Source: Alexandria via LeMat-Bulk, functional GGA-PBE.

Lattice parameters (Å, degrees): 3.382 4.104 8.573 90.00 90.00 90.00
Space group Cmmm (No. 65)
Asymmetric unit:
1 Zn 0.000 0.000 0.246 [4 per cell]
2 Re 0.000 0.500 0.000 [2 per cell]
3 Si 0.000 0.500 0.500 [2 per cell]

## Properties
The density of states at the Fermi level is 4.09 states/eV per cell. For the total magnetization, the calculation gives 0.00 μB per formula unit.

A relaxed structure of GeSe4. Source: Alexandria via LeMat-Bulk, functional GGA-PBE.

Lattice parameters (Å, degrees): 4.983 4.983 4.983 90.00 90.00 90.00
Space group Pm-3m (No. 221)
Asymmetric unit:
1 Ge 0.000 0.000 0.000 [1 per cell]
2 Se 0.000 0.000 0.500 [3 per cell]
3 Se 0.500 0.500 0.500 [1 per cell]

## Properties
The density of states at the Fermi level is 7.36 states/eV per cell. For the total magnetization, the calculation gives 0.08 μB per formula unit.

A relaxed structure of PRuRh3. Source: Alexandria via LeMat-Bulk, functional GGA-PBE.

Lattice parameters (Å, degrees): 4.643 4.643 4.643 90.00 90.00 90.00
Space group Pm-3m (No. 221)
Asymmetric unit:
1 P 0.000 0.000 0.000 [1 per cell]
2 Ru 0.500 0.500 0.500 [1 per cell]
3 Rh 0.000 0.500 0.500 [3 per cell]

## Properties
The calculation puts the energy above the most stable polymorph in this dataset at 1097.2 meV/atom. The density of states at the Fermi level is 6.90 states/eV per cell. For the total magnetization, the calculation gives 0.00 μB per formula unit. For the calculated formation energy, the calculation gives 1.555 eV per atom.

A relaxed structure of MgNp4. Source: Alexandria via LeMat-Bulk, functional GGA-PBE.

Lattice parameters (Å, degrees): 5.396 5.396 5.396 90.00 90.00 90.00
Space group Pm-3m (No. 221)
Asymmetric unit:
1 Mg 0.000 0.000 0.000 [1 per cell]
2 Np 0.000 0.000 0.500 [3 per cell]
3 Np 0.500 0.500 0.500 [1 per cell]

## Properties
The density of states at the Fermi level is 42.30 states/eV per cell. For the total magnetization, the calculation gives 9.84 μB per formula unit. For the calculated formation energy, the calculation gives 1.956 eV per atom.

A relaxed structure of Ta2AlV2. Source: Alexandria via LeMat-Bulk, functional GGA-PBE.

Lattice parameters (Å, degrees): 6.915 6.915 3.418 90.00 90.00 90.00
Space group P4/mbm (No. 127)
Asymmetric unit:
1 Ta 0.184 0.316 0.000 [4 per cell]
2 Al 0.000 0.000 0.500 [2 per cell]
3 V 0.116 0.616 0.500 [4 per cell]

## Properties
The density of states at the Fermi level is 10.14 states/eV per cell. For the total magnetization, the calculation gives 0.00 μB per formula unit. For the calculated formation energy, the calculation gives 0.119 eV per atom.

| no. | uncorrected energy (eV per formula unit) |
| --- | --- |
| 1 | -14.18 |
| 2 | -18.91 |
| 3 | -15.27 |
| 4 | -28.97 |
| 5 | -43.58 |
| 6 | -45.09 |